Density functional theory data (PBE) for a relaxed NdPuSn6 crystal.

Cell and atoms, written as POSCAR:
```
NdPuSn6
1.0
4.7307 0.0000 0.0000
0.0000 4.7307 0.0000
0.0000 0.0000 9.3950
Nd Pu Sn
1 1 6
Direct
0.0000 0.0000 0.0000 Nd
0.0000 0.0000 0.5000 Pu
0.5000 0.5000 0.0000 Sn
0.5000 0.5000 0.5000 Sn
0.5000 0.0000 0.2560 Sn
0.5000 0.0000 0.7440 Sn
0.0000 0.5000 0.2560 Sn
0.0000 0.5000 0.7440 Sn
```

Total energy: -46.6 eV for the cell shown
Space group: P4/mmm, No. 123
Energy relative to the elements: -0.43 eV per atom